(1)
Below is crystalline Pa2TcPd at its relaxed geometry, with properties calculated at the PBE level.

Cell: 4.0005 4.0005 6.9879 Å, 73.37 73.37 60.00°
Closest atoms and distances in Å follow each position.
Fractional coordinates of all 4 atoms:
1 Pa 0.2566 0.2566 0.2301  3 Tc 2.76, 3 Pd 2.92
2 Pa 0.7434 0.7434 0.7699  3 Tc 2.76, 3 Pd 2.92
3 Tc 0.0000 0.0000 0.0000  6 Pa 2.76
4 Pd 0.5000 0.5000 0.5000  6 Pa 2.92

Final energy in eV/atom: -8.917
Relative energy among the computed polymorphs in eV/atom: 0.013

=====

(2)
Below is crystalline PmPu5Sb6 at its relaxed geometry, with properties calculated at the PBE level.

Cell: 7.6829 7.6790 7.6802 Å, 60.01 80.40 70.52°
Closest atoms and distances in Å follow each position.
Fractional coordinates of all 12 atoms:
1 Sb 0.7472 0.0845 0.3372  5 Pu 3.12-3.14, 1 Pm 3.17
2 Sb 0.2528 0.5784 0.3372  5 Pu 3.12-3.14, 1 Pm 3.17
3 Sb 0.2509 0.2539 0.0000  5 Pu 3.11-3.13, 1 Pm 3.17
4 Sb 0.7491 0.7461 0.0000  5 Pu 3.11-3.13, 1 Pm 3.17
5 Sb 0.7472 0.4216 0.6628  5 Pu 3.12-3.14, 1 Pm 3.17
6 Sb 0.2528 0.9155 0.6628  5 Pu 3.12-3.14, 1 Pm 3.17
7 Pu 0.5000 0.1648 0.6704  6 Sb 3.12-3.14
8 Pu 0.0000 0.3328 0.3343  6 Sb 3.13
9 Pu 0.5000 0.5000 0.0000  6 Sb 3.11-3.14
10 Pu 0.0000 0.6672 0.6657  6 Sb 3.13
11 Pu 0.5000 0.8352 0.3296  6 Sb 3.12-3.14
12 Pm 0.0000 0.0000 0.0000  6 Sb 3.17

Final energy in eV/atom: -9.115
E_form (uncorrected) in eV per atom: -0.687

=====

(3)
Below is crystalline V6Pd12Pt at its relaxed geometry, with properties calculated at the PBE level.

Cell: 6.6114 6.6114 6.6114 Å, 88.71 88.71 88.71°
Closest atoms and distances in Å follow each position.
Fractional coordinates of all 19 atoms:
1 V 0.7304 0.8854 0.2697  1 Pt 2.61, 8 Pd 2.61-2.87, 2 V 2.72
2 V 0.7303 0.2696 0.1146  1 Pt 2.61, 8 Pd 2.61-2.87, 2 V 2.72
3 V 0.1146 0.7303 0.2696  1 Pt 2.61, 8 Pd 2.61-2.87, 2 V 2.72
4 V 0.2696 0.1146 0.7303  1 Pt 2.61, 8 Pd 2.61-2.87, 2 V 2.72
5 V 0.2697 0.7304 0.8854  1 Pt 2.61, 8 Pd 2.61-2.87, 2 V 2.72
6 V 0.8854 0.2697 0.7304  1 Pt 2.61, 8 Pd 2.61-2.87, 2 V 2.72
7 Pd 0.8067 0.5251 0.4212  4 V 2.61-2.73, 5 Pd 2.70-2.86
8 Pd 0.4212 0.8067 0.5251  4 V 2.61-2.73, 5 Pd 2.70-2.86
9 Pd 0.5251 0.4212 0.8067  4 V 2.61-2.73, 5 Pd 2.70-2.86
10 Pd 0.1933 0.4749 0.5788  4 V 2.61-2.73, 5 Pd 2.70-2.86
11 Pd 0.5788 0.1933 0.4749  4 V 2.61-2.73, 5 Pd 2.70-2.86
12 Pd 0.4749 0.5788 0.1933  4 V 2.61-2.73, 5 Pd 2.70-2.86
13 Pd 0.0298 0.1536 0.3744  5 Pd 2.63-2.86, 5 V 2.64-2.94, 1 Pt 2.71
14 Pd 0.8464 0.6256 0.9702  5 Pd 2.63-2.86, 5 V 2.64-2.94, 1 Pt 2.71
15 Pd 0.6256 0.9702 0.8464  5 Pd 2.63-2.86, 5 V 2.64-2.94, 1 Pt 2.71
16 Pd 0.9702 0.8464 0.6256  5 Pd 2.63-2.86, 5 V 2.64-2.94, 1 Pt 2.71
17 Pd 0.1536 0.3744 0.0298  5 Pd 2.63-2.86, 5 V 2.64-2.94, 1 Pt 2.71
18 Pd 0.3744 0.0298 0.1536  5 Pd 2.63-2.86, 5 V 2.64-2.94, 1 Pt 2.71
19 Pt 0.0000 0.0000 0.0000  6 V 2.61, 6 Pd 2.71

Final energy in eV/atom: -6.626

=====

(4)
Below is crystalline MgCoMo2C at its relaxed geometry, with properties calculated at the PBE level.

Cell: 4.3845 4.5471 4.3845 Å, 90.00 90.00 90.00°
Closest atoms and distances in Å follow each position.
Fractional coordinates of all 5 atoms:
1 C 0.5000 0.5000 0.5000  4 Mg 3.10, 8 Mo 3.16
2 Mo 0.0000 0.0000 0.5000  2 Co 2.19
3 Mo 0.5000 0.0000 0.0000  2 Co 2.19
4 Co 0.0000 0.0000 0.0000  4 Mo 2.19, 2 Mg 2.27
5 Mg 0.0000 0.5000 0.0000  2 Co 2.27

Final energy in eV/atom: -5.869

=====

(5)
Below is crystalline Tb2NdRu2 at its relaxed geometry, with properties calculated at the PBE level.

Cell: 4.4023 5.3366 11.6570 Å, 108.72 90.00 90.00°
Closest atoms and distances in Å follow each position.
Fractional coordinates of all 10 atoms:
1 Tb 0.2500 0.8155 0.8772  5 Ru 2.87-3.14
2 Tb 0.7500 0.1845 0.1228  5 Ru 2.87-3.14
3 Tb 0.2500 0.2737 0.5208  4 Ru 2.83-3.01
4 Tb 0.7500 0.7263 0.4792  4 Ru 2.83-3.01
5 Nd 0.2500 0.7790 0.2377  5 Ru 2.96-3.31
6 Nd 0.7500 0.2210 0.7623  5 Ru 2.96-3.31
7 Ru 0.2500 0.8657 0.6394  5 Tb 2.83-3.01, 2 Nd 2.96
8 Ru 0.7500 0.1343 0.3606  5 Tb 2.83-3.01, 2 Nd 2.96
9 Ru 0.2500 0.3982 0.9861  2 Ru 2.43
10 Ru 0.7500 0.6018 0.0139  2 Ru 2.43

Final energy in eV/atom: -6.667

=====

(6)
Below is crystalline AlFeTe2 at its relaxed geometry, with properties calculated at the PBE level.

Cell: 3.5078 3.5078 7.4396 Å, 90.00 90.00 90.00°
Closest atoms and distances in Å follow each position.
Fractional coordinates of all 4 atoms:
1 Te 0.0000 0.0000 0.8962  1 Al 2.67, 4 Fe 2.83
2 Te 0.5000 0.5000 0.3551  1 Fe 2.65, 4 Al 2.83
3 Fe 0.5000 0.5000 0.7119  5 Te 2.65-2.83, 4 Al 2.80
4 Al 0.0000 0.0000 0.5369  5 Te 2.67-2.83, 4 Fe 2.80

Final energy in eV/atom: -4.581
E_form (uncorrected) in eV per atom: 0.041

=====

(7)
Below is crystalline ScTe2RuN at its relaxed geometry, with properties calculated at the PBE level.

Cell: 5.5935 5.5935 3.8272 Å, 90.00 90.00 90.00°
Closest atoms and distances in Å follow each position.
Fractional coordinates of all 5 atoms:
1 Sc 0.0000 0.0000 0.0000  2 N 1.91
2 Ru 0.5000 0.5000 0.5000  8 Te 3.39
3 Te 0.0000 0.5000 0.0000  2 Sc 2.80
4 Te 0.5000 0.0000 0.0000  2 Sc 2.80
5 N 0.0000 0.0000 0.5000  2 Sc 1.91

Final energy in eV/atom: -5.294
E_form (uncorrected) in eV per atom: 0.749
Relative energy among the computed polymorphs in eV/atom: 0.831

=====

(8)
Below is crystalline YTaFe2 at its relaxed geometry, with properties calculated at the PBE level.

Cell: 4.2430 4.2430 5.3133 Å, 66.50 66.50 60.06°
Closest atoms and distances in Å follow each position.
Fractional coordinates of all 4 atoms:
1 Fe 0.9570 0.9570 0.1285  3 Ta 2.52, 3 Fe 2.70-2.71
2 Fe 0.5430 0.5430 0.3715  3 Ta 2.52, 3 Fe 2.70-2.71
3 Ta 0.2500 0.2500 0.2500  6 Fe 2.52
4 Y 0.7500 0.7500 0.7500  8 Fe 2.93-3.03

Final energy in eV/atom: -8.694